Below is a relaxed NaRe2SbPd crystal, with properties calculated at the GGA-PBE level.

The structure in POSCAR format:
```
NaRe2SbPd
1.0
4.8003 0.0000 0.0000
0.0000 4.7993 0.0000
0.0000 0.0000 4.8003
Re Na Pd Sb
2 1 1 1
Cartesian
0.0000 0.0000 2.4002
2.4002 0.0000 0.0000
0.0000 2.3996 0.0000
0.0000 0.0000 0.0000
2.4002 2.3996 2.4002
```

Output
For the density of states at the Fermi level, the calculation gives 6.831 states/eV per cell. The final energy comes out at -5.406 eV per atom.